Entry 1:
Computed, not measured: a relaxed Ca2ZrNi crystal at the GGA-PBEsol level of DFT.

abc: 6.2757 6.2757 6.2757
angles: 148.41 129.04 61.20
With the nearest neighbours (Å) after each atom.
Sites, in units of the cell vectors:
Ca (0.0000, 0.0000, 0.0000)  2 Ni 2.92
Ca (0.6949, 0.1949, 0.5000)  4 Ni 3.21, 2 Zr 3.37, 4 Ca 3.42
Zr (0.3810, 0.3810, 0.0000)  2 Ni 2.44
Ni (0.2191, 0.7191, 0.5000)  2 Zr 2.44

D(E_F): 4.69 states/eV/cell
Total moment: 0.0 μB per cell
Formation energy from the elements: 0.53 eV/f.u.
Space-group type: Imm2 (44)
Relative energy among the computed polymorphs: 0.000 eV/f.u.



Entry 2:
Computed, not measured: a relaxed Ca2ZrNi crystal at the GGA-PBEsol level of DFT.

abc: 3.3829 4.6140 6.0241
angles: 90.00 101.88 90.00
With the nearest neighbours (Å) after each atom.
Sites, in units of the cell vectors:
Ca (0.0967, 0.0000, 0.2727)  2 Ni 2.88, 2 Ca 2.94-3.22
Ca (0.9033, 0.0000, 0.7273)  2 Ni 2.88, 2 Ca 2.94-3.22
Zr (0.5000, 0.5000, 0.0000)  2 Ni 3.01, 8 Ca 3.28-3.29
Ni (0.5000, 0.5000, 0.5000)  4 Ca 2.88, 2 Zr 3.01

D(E_F): 5.03 states/eV/cell
Total moment: 0.0 μB per cell
Formation energy from the elements: 1.82 eV/f.u.
Space-group type: P2/m (10)
Relative energy among the computed polymorphs: 1.293 eV/f.u.



Entry 3:
Computed, not measured: a relaxed CaZr2Ni2 crystal at the GGA-PBEsol level of DFT.

abc: 5.9545 5.9545 5.9545
angles: 134.37 134.37 66.51
With the nearest neighbours (Å) after each atom.
Sites, in units of the cell vectors:
Ca (0.0000, 0.0000, 0.0000)  8 Ni 3.40, 10 Zr 3.44-3.61
Zr (0.3458, 0.3458, 0.0000)  4 Ni 2.50
Zr (0.6542, 0.6542, 0.0000)  4 Ni 2.50
Ni (0.2500, 0.7500, 0.5000)  4 Zr 2.50
Ni (0.7500, 0.2500, 0.5000)  4 Zr 2.50

D(E_F): 5.28 states/eV/cell
Total moment: 1.0 μB per cell
Formation energy from the elements: 0.62 eV/f.u.
Space-group type: I4/mmm (139)



Entry 4:
Computed, not measured: a relaxed CaZrNi4 crystal at the GGA-PBEsol level of DFT.

abc: 4.9023 4.9023 4.9023
angles: 60.00 60.00 60.00
With the nearest neighbours (Å) after each atom.
Sites, in units of the cell vectors:
Ca (0.0000, 0.0000, 0.0000)  12 Ni 2.87, 4 Zr 3.00
Zr (0.7500, 0.7500, 0.7500)  12 Ni 2.87, 4 Ca 3.00
Ni (0.3750, 0.3750, 0.3750)  6 Ni 2.45
Ni (0.3750, 0.3750, 0.8750)  6 Ni 2.45
Ni (0.3750, 0.8750, 0.3750)  6 Ni 2.45
Ni (0.8750, 0.3750, 0.3750)  6 Ni 2.45

D(E_F): 2.29 states/eV/cell
Total moment: 0.0 μB per cell
Formation energy from the elements: -1.67 eV/f.u.
Space-group type: F-43m (216)